[1]
The following is a PBE calculation of a relaxed Sc3GaSn3 crystal, from Alexandria via LeMat-Bulk.

Spin magnetization: 0.000 μB/atom
N(E_F): 12.7 states/eV/cell
Total energy: -5.22 eV/atom
E_form: -0.36 eV per atom

Unit cell a=5.424 b=8.230 c=8.230 alpha=120.00 beta=90.00 gamma=90.00
Atoms (fractional coordinates):
Ga1 0.750 0.333 0.667
Sn1 0.250 0.943 0.207
Sc1 0.750 0.639 0.545
Sn2 0.750 0.736 0.943
Sc2 0.750 0.455 0.095
Sn3 0.250 0.793 0.736
Sc3 0.250 0.095 0.639
Sn4 0.250 0.264 0.057
Sc4 0.750 0.905 0.361
Sn5 0.750 0.057 0.793
Sc5 0.250 0.545 0.905
Ga2 0.250 0.667 0.333
Sn6 0.750 0.207 0.264
Sc6 0.250 0.361 0.455


[2]
The following is a PBE calculation of a relaxed AcNdCdCo crystal, from Alexandria via LeMat-Bulk.

Spin magnetization: 0.183 μB/atom
N(E_F): 3.3 states/eV/cell
Total energy: -4.20 eV/atom
E_form: 0.02 eV per atom

Unit cell a=5.366 b=5.366 c=5.366 alpha=60.00 beta=60.00 gamma=60.00
Each line ends with the local moment (μB).
Atoms (fractional coordinates):
Co1 0.750 0.750 0.750  1.27
Ac1 0.000 0.000 0.000  -0.09
Cd1 0.250 0.250 0.250  0.00
Nd1 0.500 0.500 0.500  -0.14


[3]
The following is a PBE calculation of a relaxed NpHgGe2O8 crystal, from Alexandria via LeMat-Bulk.

Spin magnetization: 0.083 μB/atom
Total energy: -6.90 eV/atom
E_form (uncorrected): -20.69 eV/f.u.

Unit cell a=5.506 b=5.506 c=8.254 alpha=100.32 beta=100.32 gamma=63.70
Each line ends with the local moment (μB).
Atoms (fractional coordinates):
Hg1 0.000 0.000 0.500  0.00
Np1 0.000 0.000 0.000  1.24
Ge1 0.312 0.312 0.782  -0.01
O1 0.220 0.220 0.575  -0.01
O2 0.673 0.181 0.823  -0.04
O3 0.196 0.196 0.929  -0.03
O4 0.804 0.804 0.071  -0.03
O5 0.819 0.327 0.177  -0.04
O6 0.181 0.673 0.823  -0.04
O7 0.327 0.819 0.177  -0.04
Ge2 0.688 0.688 0.218  -0.01
O8 0.780 0.780 0.425  -0.01


[4]
The following is a PBE calculation of a relaxed Cd2AgPbO4 crystal, from Alexandria via LeMat-Bulk.

Spin magnetization: 0.000 μB/atom
N(E_F): 5.0 states/eV/cell
Total energy: -4.18 eV/atom
E_form (uncorrected): -5.19 eV/f.u.

Unit cell a=3.266 b=6.368 c=12.072 alpha=90.00 beta=90.00 gamma=104.86
Atoms (fractional coordinates):
Cd1 0.627 0.253 0.020
O1 0.000 0.000 0.000
Ag1 0.078 0.156 0.250
O2 0.236 0.473 0.115
Pb1 0.815 0.630 0.250
Cd2 0.627 0.253 0.480
Ag2 0.922 0.844 0.750
O3 0.000 0.000 0.500
O4 0.764 0.527 0.615
O5 0.448 0.895 0.250
Pb2 0.185 0.370 0.750
O6 0.552 0.105 0.750
O7 0.764 0.527 0.885
Cd3 0.373 0.747 0.980
O8 0.236 0.473 0.385
Cd4 0.373 0.747 0.520


[5]
The following is a PBE calculation of a relaxed Ac2Al5Ge3 crystal, from Alexandria via LeMat-Bulk.

Spin magnetization: 0.000 μB/atom
N(E_F): 3.8 states/eV/cell
Total energy: -4.38 eV/atom
E_form: -0.30 eV per atom
Offset from the most stable computed form: 47 meV per atom

Unit cell a=4.598 b=4.598 c=10.740 alpha=90.00 beta=90.00 gamma=90.00
Atoms (fractional coordinates):
Al1 0.500 0.500 0.000
Ge1 0.000 0.500 0.378
Ge2 0.500 0.000 0.622
Ge3 0.000 0.000 0.500
Ac1 0.500 0.000 0.247
Al2 0.500 0.500 0.500
Al3 0.000 0.000 0.000
Ac2 0.000 0.500 0.753
Al4 0.500 0.000 0.869
Al5 0.000 0.500 0.131


[6]
The following is a PBE calculation of a relaxed Ca2TaTc crystal, from Alexandria via LeMat-Bulk.

Spin magnetization: 0.000 μB/atom
N(E_F): 4.9 states/eV/cell
Total energy: -5.77 eV/atom
E_form: 0.79 eV per atom
Offset from the most stable computed form: 626 meV per atom

Unit cell a=2.901 b=2.901 c=10.442 alpha=90.00 beta=90.00 gamma=103.42
Atoms (fractional coordinates):
Ca1 0.000 0.000 0.518
Ta1 0.500 0.500 0.250
Tc1 0.500 0.500 0.750
Ca2 0.000 0.000 0.982


[7]
The following is a PBE calculation of a relaxed Pa2Cd2Ni15 crystal, from Alexandria via LeMat-Bulk.

Spin magnetization: 0.000 μB/atom
N(E_F): 26.6 states/eV/cell
Total energy: -5.74 eV/atom
E_form: -0.08 eV per atom

Unit cell a=6.444 b=6.444 c=6.444 alpha=81.64 beta=81.64 gamma=81.64
Atoms (fractional coordinates):
Ni1 0.343 0.343 0.833
Ni2 0.343 0.833 0.343
Ni3 0.000 0.000 0.500
Ni4 0.316 0.000 0.684
Ni5 0.167 0.657 0.657
Ni6 0.000 0.316 0.684
Ni7 0.500 0.000 0.000
Pa1 0.119 0.119 0.119
Ni8 0.316 0.684 0.000
Ni9 0.833 0.343 0.343
Ni10 0.657 0.657 0.167
Cd1 0.375 0.375 0.375
Ni11 0.684 0.316 0.000
Ni12 0.000 0.500 0.000
Cd2 0.625 0.625 0.625
Ni13 0.657 0.167 0.657
Ni14 0.684 0.000 0.316
Pa2 0.881 0.881 0.881
Ni15 0.000 0.684 0.316


[8]
The following is a PBE calculation of a relaxed Nd8Y2Cd crystal, from Alexandria via LeMat-Bulk.

Spin magnetization: 0.000 μB/atom
N(E_F): 16.2 states/eV/cell
Total energy: -4.65 eV/atom
E_form: 0.08 eV per atom
Offset from the most stable computed form: 100 meV per atom

Unit cell a=5.843 b=10.105 c=10.105 alpha=40.25 beta=91.63 gamma=91.63
Atoms (fractional coordinates):
Nd1 0.748 0.863 0.392
Nd2 0.235 0.174 0.174
Y1 0.742 0.282 0.282
Nd3 0.252 0.608 0.137
Nd4 0.252 0.137 0.608
Cd1 0.000 0.000 0.000
Nd5 0.765 0.826 0.826
Nd6 0.766 0.453 0.453
Nd7 0.748 0.392 0.863
Y2 0.258 0.718 0.718
Nd8 0.234 0.547 0.547